(1)
! La3MgIn, relaxed, DFT GGA-PBE; values from VASP
! Energy of formation from the pure elements = 30.8 kJ per mole of atoms
! E = -3.50 eV per atom
! Space-group type = Pm-3m, No. 221
! Magnetization = 2.0 Bohr magnetons per cell
&SYSTEM
  ibrav = 0, nat = 5, ntyp = 3
/
ATOMIC_SPECIES
La 138.91 La.upf
Mg 24.30 Mg.upf
In 114.82 In.upf
CELL_PARAMETERS angstrom
6.050 0.000 0.000
0.000 6.050 0.000
0.000 0.000 6.050
ATOMIC_POSITIONS crystal
La 0.000 0.000 0.500
La 0.000 0.500 0.000
La 0.500 0.000 0.000
Mg 0.500 0.500 0.500
In 0.000 0.000 0.000



(2)
! ZnTe2H, relaxed, DFT GGA-PBE; values from VASP
! E = -2.17 eV per atom
! Space-group type = Fm-3m, No. 225
! Magnetization = 0.0 Bohr magnetons per cell
&SYSTEM
  ibrav = 0, nat = 4, ntyp = 3
/
ATOMIC_SPECIES
Zn 65.41 Zn.upf
Te 127.60 Te.upf
H 1.01 H.upf
CELL_PARAMETERS angstrom
0.000 3.392 3.392
3.392 0.000 3.392
3.392 3.392 0.000
ATOMIC_POSITIONS crystal
Zn 0.000 0.000 0.000
Te 0.250 0.250 0.250
Te 0.750 0.750 0.750
H 0.500 0.500 0.500



(3)
! SrAg2IO6, relaxed, DFT GGA-PBE; values from VASP
! E = -4.64 eV per atom
! Space-group type = P1, No. 1
! Formation energy without anion corrections = -0.776 eV/atom
! Magnetization = 0.9 Bohr magnetons per cell
&SYSTEM
  ibrav = 0, nat = 10, ntyp = 4
/
ATOMIC_SPECIES
Sr 87.62 Sr.upf
Ag 107.87 Ag.upf
I 126.90 I.upf
O 16.00 O.upf
CELL_PARAMETERS angstrom
5.705 0.000 0.000
2.725 5.038 0.000
2.621 1.748 5.201
ATOMIC_POSITIONS crystal
Sr 0.000 0.000 0.000
Ag 0.222 0.189 0.385
Ag 0.739 0.748 0.775
I 0.520 0.506 0.455
O 0.188 0.760 0.627
O 0.328 0.567 0.226
O 0.391 0.193 0.673
O 0.615 0.826 0.218
O 0.709 0.415 0.689
O 0.848 0.282 0.269



(4)
! Tc2PAu, relaxed, DFT GGA-PBE; values from VASP
! Energy of formation from the pure elements = 52.1 kJ per mole of atoms
! E = -6.81 eV per atom
! Space-group type = Pmmm, No. 47
! Magnetization = 0.0 Bohr magnetons per cell
&SYSTEM
  ibrav = 0, nat = 4, ntyp = 3
/
ATOMIC_SPECIES
Tc 98.00 Tc.upf
P 30.97 P.upf
Au 196.97 Au.upf
CELL_PARAMETERS angstrom
2.965 0.000 0.000
0.000 4.523 0.000
0.000 0.000 4.565
ATOMIC_POSITIONS crystal
Tc 0.000 0.000 0.000
Tc 0.500 0.000 0.500
P 0.000 0.500 0.500
Au 0.500 0.500 0.000